Entry 1:
Density functional theory data (PBE-GGA) for a relaxed structure of Rb2InCF6.

Calculated values
Uncorrected formation energy: -1.731 eV per atom
E: -42.43 eV/cell
Magnetic moment: 1.00 μB per cell
V: 176 Å³ per cell

Unit cell a=6.596 b=6.596 c=6.596 alpha=127.38 beta=127.38 gamma=77.63
Element x y z (fractional)
Rb 0.250 0.750 0.500
Rb 0.750 0.250 0.500
In 0.000 0.000 0.000
C 0.500 0.500 0.000
F 0.202 0.202 0.000
F 0.257 0.257 0.514
F 0.257 0.743 0.000
F 0.743 0.257 0.000
F 0.743 0.743 0.486
F 0.798 0.798 0.000

Entry 2:
Density functional theory data (PBE-GGA) for a relaxed structure of LaMgMn2Bi.

Calculated values
Formation energy: 6.54 eV/f.u.
E: -22.20 eV/cell
Magnetic moment: 4.66 μB per cell
V: 119 Å³ per cell

Unit cell a=4.565 b=4.565 c=5.729 alpha=90.00 beta=90.00 gamma=90.00
Element x y z (fractional)
La 0.000 0.000 0.000
Mg 0.000 0.000 0.500
Mn 0.000 0.500 0.000
Mn 0.500 0.000 0.000
Bi 0.500 0.500 0.500

Entry 3:
Density functional theory data (PBE-GGA) for a relaxed structure of ZnO.

Calculated values
Uncorrected formation energy: -1.242 eV per atom
E: -52.30 eV/cell
Magnetic moment: 0.00 μB per cell
V: 169 Å³ per cell

Unit cell a=9.199 b=3.196 c=5.759 alpha=90.00 beta=90.00 gamma=90.00
Element x y z (fractional)
Zn 0.000 0.018 0.000
Zn 0.204 0.352 0.283
Zn 0.296 0.648 0.783
Zn 0.500 0.982 0.500
Zn 0.704 0.648 0.783
Zn 0.796 0.352 0.283
O 0.000 0.533 0.223
O 0.205 0.143 0.923
O 0.295 0.857 0.423
O 0.500 0.467 0.723
O 0.705 0.857 0.423
O 0.795 0.143 0.923

Entry 4:
Density functional theory data (PBE-GGA) for a relaxed structure of Tb2MgGa4Au3.

Calculated values
Formation energy: -5.85 eV/f.u.
E: -38.65 eV/cell
Magnetic moment: 0.00 μB per cell
V: 202 Å³ per cell

Unit cell a=4.196 b=4.196 c=11.486 alpha=90.00 beta=90.00 gamma=90.00
Element x y z (fractional)
Tb 0.000 0.500 0.246
Tb 0.500 0.000 0.754
Mg 0.000 0.000 0.500
Ga 0.000 0.000 0.000
Ga 0.000 0.500 0.646
Ga 0.500 0.000 0.354
Ga 0.500 0.500 0.000
Au 0.000 0.500 0.864
Au 0.500 0.000 0.136
Au 0.500 0.500 0.500

Entry 5:
Density functional theory data (PBE-GGA) for a relaxed structure of RbSiB2.

Calculated values
Uncorrected formation energy: 0.811 eV per atom
E: -66.00 eV/cell
Magnetic moment: 0.00 μB per cell
V: 299 Å³ per cell

Unit cell a=4.844 b=4.844 c=12.764 alpha=90.00 beta=90.00 gamma=90.00
Element x y z (fractional)
Rb 0.000 0.250 0.375
Rb 0.000 0.750 0.625
Rb 0.500 0.250 0.125
Rb 0.500 0.750 0.875
Si 0.000 0.250 0.875
Si 0.000 0.750 0.125
Si 0.500 0.250 0.625
Si 0.500 0.750 0.375
B 0.000 0.000 0.000
B 0.000 0.500 0.000
B 0.250 0.250 0.750
B 0.250 0.750 0.250
B 0.500 0.000 0.500
B 0.500 0.500 0.500
B 0.750 0.250 0.750
B 0.750 0.750 0.250

Entry 6:
Density functional theory data (PBE-GGA) for a relaxed structure of ReTc.

Calculated values
Offset from the most stable computed form: 75.5 meV per atom
Formation energy: 0.14 eV/f.u.
E: -45.35 eV/cell
Magnetic moment: 0.00 μB per cell
V: 59 Å³ per cell

Unit cell a=2.752 b=4.777 c=4.782 alpha=99.48 beta=90.13 gamma=106.74
Element x y z (fractional)
Re 0.126 0.250 0.373
Re 0.874 0.750 0.627
Tc 0.375 0.750 0.123
Tc 0.625 0.250 0.877

Entry 7:
Density functional theory data (PBE-GGA) for a relaxed structure of Ta2SbAu.

Calculated values
Uncorrected formation energy: 0.049 eV per atom
E: -30.91 eV/cell
Magnetic moment: 0.00 μB per cell
V: 78 Å³ per cell

Unit cell a=3.609 b=3.609 c=5.961 alpha=90.00 beta=90.00 gamma=90.00
Element x y z (fractional)
Ta 0.000 0.000 0.000
Ta 0.500 0.500 0.217
Sb 0.500 0.500 0.727
Au 0.000 0.000 0.475

Entry 8:
Density functional theory data (PBE-GGA) for a relaxed structure of SrTa2S4.

Calculated values
Uncorrected formation energy: -1.055 eV per atom
E: -98.57 eV/cell
Magnetic moment: 0.00 μB per cell
V: 288 Å³ per cell

Unit cell a=8.377 b=7.213 c=7.194 alpha=71.10 beta=54.55 gamma=54.35
Element x y z (fractional)
Sr 0.000 0.000 0.000
Sr 0.250 0.250 0.250
Ta 0.125 0.576 0.674
Ta 0.576 0.125 0.625
Ta 0.625 0.674 0.576
Ta 0.674 0.625 0.125
S 0.319 0.837 0.487
S 0.357 0.487 0.837
S 0.413 0.894 0.930
S 0.487 0.357 0.319
S 0.763 0.930 0.894
S 0.837 0.319 0.357
S 0.894 0.413 0.763
S 0.930 0.763 0.413

Q: What is the formula in the first record?
A: Rb2InCF6

Q: magnetic moment of number 1 (Rb2InCF6)?
A: 1.00 μB per cell

Q: The lowest V belongs to which entry?
A: ReTc

Copy entry 2 word for word.
Density functional theory data (PBE-GGA) for a relaxed structure of LaMgMn2Bi.

Calculated values
Formation energy: 6.54 eV/f.u.
E: -22.20 eV/cell
Magnetic moment: 4.66 μB per cell
V: 119 Å³ per cell

Unit cell a=4.565 b=4.565 c=5.729 alpha=90.00 beta=90.00 gamma=90.00
Element x y z (fractional)
La 0.000 0.000 0.000
Mg 0.000 0.000 0.500
Mn 0.000 0.500 0.000
Mn 0.500 0.000 0.000
Bi 0.500 0.500 0.500